A) A plane-wave DFT calculation with PBE was carried out for crystalline CsSc3Au at its relaxed geometry.

Computed properties:
* total magnetization: 0.0 μB/f.u.
* space group: Pm-3m (221)

Unit cell a=5.1811 b=5.1811 c=5.1811 alpha=90.00 beta=90.00 gamma=90.00
Closest atoms and distances in Å follow each position.
Sites, in units of the cell vectors:
Cs  0.0000  0.0000  0.0000  6 Sc 2.59
Sc  0.0000  0.0000  0.5000  2 Cs 2.59
Sc  0.0000  0.5000  0.0000  2 Cs 2.59
Sc  0.5000  0.0000  0.0000  2 Cs 2.59
Au  0.5000  0.5000  0.5000  12 Sc 3.66


B) A plane-wave DFT calculation with PBE was carried out for crystalline CsSc3Au at its relaxed geometry.

Computed properties:
* total magnetization: 0.0 μB/f.u.
* space group: Pm-3m (221)

Unit cell a=5.4220 b=5.4220 c=5.4220 alpha=90.00 beta=90.00 gamma=90.00
Closest atoms and distances in Å follow each position.
Sites, in units of the cell vectors:
Cs  0.0000  0.0000  0.0000  12 Sc 3.83
Sc  0.0000  0.5000  0.5000  2 Au 2.71
Sc  0.5000  0.0000  0.5000  2 Au 2.71
Sc  0.5000  0.5000  0.0000  2 Au 2.71
Au  0.5000  0.5000  0.5000  6 Sc 2.71


Of them, B) has the highest stability.


A) A plane-wave DFT calculation with PBE was carried out for crystalline CsAu2Se2 at its relaxed geometry.

Computed properties:
* total magnetization: 0.0 μB/f.u.
* space group: I4/mmm (139)

Unit cell a=4.5256 b=4.5256 c=13.8282 alpha=90.00 beta=90.00 gamma=90.00
Closest atoms and distances in Å follow each position.
Sites, in units of the cell vectors:
Cs  0.0000  0.0000  0.0000  8 Se 3.75, 8 Au 4.13
Cs  0.5000  0.5000  0.5000  8 Se 3.75, 8 Au 4.13
Au  0.0000  0.5000  0.2500  4 Se 2.71
Au  0.0000  0.5000  0.7500  4 Se 2.71
Au  0.5000  0.0000  0.2500  4 Se 2.71
Au  0.5000  0.0000  0.7500  4 Se 2.71
Se  0.0000  0.0000  0.3581  4 Au 2.71
Se  0.0000  0.0000  0.6419  4 Au 2.71
Se  0.5000  0.5000  0.1419  4 Au 2.71
Se  0.5000  0.5000  0.8581  4 Au 2.71


B) A plane-wave DFT calculation with PBE was carried out for crystalline CsAu2Se2 at its relaxed geometry.

Computed properties:
* total magnetization: 0.0 μB/f.u.
* space group: P-1 (2)

Unit cell a=4.2429 b=5.5623 c=7.9377 alpha=89.58 beta=74.62 gamma=89.98
Closest atoms and distances in Å follow each position.
Sites, in units of the cell vectors:
Cs  0.0000  0.0000  0.0000  8 Se 3.86-3.87, 4 Au 4.06-4.08, 2 Cs 4.24
Au  0.1945  0.5013  0.6118  2 Se 2.50, 2 Au 2.73
Au  0.8055  0.4987  0.3882  2 Se 2.50, 2 Au 2.73
Se  0.3911  0.4980  0.2156  2 Au 2.50
Se  0.6089  0.5020  0.7844  2 Au 2.50


Of them, B) has the highest stability.


A) A plane-wave DFT calculation with PBE was carried out for crystalline Cs2AuSe at its relaxed geometry.

Computed properties:
* total magnetization: 0.0 μB/f.u.
* space group: I-42d (122)

Unit cell a=9.7738 b=9.7738 c=6.9354 alpha=90.00 beta=90.00 gamma=90.00
Closest atoms and distances in Å follow each position.
Sites, in units of the cell vectors:
Cs  0.2434  0.2500  0.1250  2 Cs 3.47, 2 Se 3.52, 2 Au 3.61
Cs  0.2500  0.7434  0.3750  2 Cs 3.47, 2 Se 3.52, 2 Au 3.61
Cs  0.2500  0.7566  0.8750  2 Cs 3.47, 2 Se 3.52, 2 Au 3.61
Cs  0.2566  0.2500  0.6250  2 Cs 3.47, 2 Se 3.52, 2 Au 3.61
Cs  0.7434  0.7500  0.6250  2 Cs 3.47, 2 Se 3.52, 2 Au 3.61
Cs  0.7500  0.2434  0.8750  2 Cs 3.47, 2 Se 3.52, 2 Au 3.61
Cs  0.7500  0.2566  0.3750  2 Cs 3.47, 2 Se 3.52, 2 Au 3.61
Cs  0.7566  0.7500  0.1250  2 Cs 3.47, 2 Se 3.52, 2 Au 3.61
Au  0.0000  0.0000  0.5000  2 Se 3.47, 4 Cs 3.61
Au  0.0000  0.5000  0.7500  2 Se 3.47, 4 Cs 3.61
Au  0.5000  0.0000  0.2500  2 Se 3.47, 4 Cs 3.61
Au  0.5000  0.5000  0.0000  2 Se 3.47, 4 Cs 3.61
Se  0.0000  0.0000  0.0000  2 Au 3.47, 4 Cs 3.52
Se  0.0000  0.5000  0.2500  2 Au 3.47, 4 Cs 3.52
Se  0.5000  0.0000  0.7500  2 Au 3.47, 4 Cs 3.52
Se  0.5000  0.5000  0.5000  2 Au 3.47, 4 Cs 3.52


B) A plane-wave DFT calculation with PBE was carried out for crystalline Cs2AuSe at its relaxed geometry.

Computed properties:
* total magnetization: 0.0 μB/f.u.
* space group: Fm-3m (225)

Unit cell a=8.6541 b=8.6541 c=8.6541 alpha=90.00 beta=90.00 gamma=90.00
Closest atoms and distances in Å follow each position.
Sites, in units of the cell vectors:
Cs  0.2500  0.2500  0.2500  4 Se 3.75, 4 Au 3.75
Cs  0.2500  0.2500  0.7500  4 Se 3.75, 4 Au 3.75
Cs  0.2500  0.7500  0.2500  4 Se 3.75, 4 Au 3.75
Cs  0.2500  0.7500  0.7500  4 Se 3.75, 4 Au 3.75
Cs  0.7500  0.2500  0.2500  4 Se 3.75, 4 Au 3.75
Cs  0.7500  0.2500  0.7500  4 Se 3.75, 4 Au 3.75
Cs  0.7500  0.7500  0.2500  4 Se 3.75, 4 Au 3.75
Cs  0.7500  0.7500  0.7500  4 Au 3.75, 4 Se 3.75
Au  0.0000  0.0000  0.0000  8 Cs 3.75
Au  0.0000  0.5000  0.5000  8 Cs 3.75
Au  0.5000  0.0000  0.5000  8 Cs 3.75
Au  0.5000  0.5000  0.0000  8 Cs 3.75
Se  0.0000  0.0000  0.5000  8 Cs 3.75
Se  0.0000  0.5000  0.0000  8 Cs 3.75
Se  0.5000  0.0000  0.0000  8 Cs 3.75
Se  0.5000  0.5000  0.5000  8 Cs 3.75


C) A plane-wave DFT calculation with PBE was carried out for crystalline Cs2AuSe at its relaxed geometry.

Computed properties:
* total magnetization: 0.0 μB/f.u.
* space group: P2_1/m (11)

Unit cell a=6.0861 b=5.4949 c=10.5339 alpha=90.00 beta=90.00 gamma=90.00
Closest atoms and distances in Å follow each position.
Sites, in units of the cell vectors:
Cs  0.2503  0.2500  0.0828  1 Au 3.52, 2 Se 3.52
Cs  0.2496  0.7500  0.4164  1 Se 3.50, 2 Au 3.50
Cs  0.7504  0.2500  0.5836  1 Se 3.50, 2 Au 3.50
Cs  0.7497  0.7500  0.9172  1 Au 3.52, 2 Se 3.52
Au  0.2505  0.2500  0.7485  2 Se 2.75
Au  0.7495  0.7500  0.2515  2 Se 2.75
Se  0.2499  0.7500  0.7486  2 Au 2.75
Se  0.7501  0.2500  0.2514  2 Au 2.75


Of them, C) has the highest stability.


A) A plane-wave DFT calculation with PBE was carried out for crystalline Cs2AuSe2 at its relaxed geometry.

Computed properties:
* total magnetization: 0.0 μB/f.u.
* space group: P4/mbm (127)

Unit cell a=7.5706 b=7.5706 c=5.7520 alpha=90.00 beta=90.00 gamma=90.00
Closest atoms and distances in Å follow each position.
Sites, in units of the cell vectors:
Cs  0.1634  0.3366  0.0000  6 Se 3.42-3.79, 1 Cs 3.50
Cs  0.3366  0.8366  0.0000  6 Se 3.42-3.79, 1 Cs 3.50
Cs  0.6634  0.1634  0.0000  6 Se 3.42-3.79, 1 Cs 3.50
Cs  0.8366  0.6634  0.0000  6 Se 3.42-3.79, 1 Cs 3.50
Au  0.0000  0.0000  0.5000  4 Se 2.83
Au  0.5000  0.5000  0.5000  4 Se 2.83
Se  0.1632  0.6632  0.5000  2 Au 2.83
Se  0.3368  0.1632  0.5000  2 Au 2.83
Se  0.6632  0.8368  0.5000  2 Au 2.83
Se  0.8368  0.3368  0.5000  2 Au 2.83


B) A plane-wave DFT calculation with PBE was carried out for crystalline Cs2AuSe2 at its relaxed geometry.

Computed properties:
* total magnetization: 0.0 μB/f.u.
* space group: Cmc2_1 (36)

Unit cell a=12.4445 b=12.4445 c=7.5940 alpha=90.00 beta=90.00 gamma=160.75
Closest atoms and distances in Å follow each position.
Sites, in units of the cell vectors:
Cs  0.0426  0.9574  0.5000  5 Se 3.65-3.74, 2 Au 4.06
Cs  0.1972  0.8028  0.2103  6 Se 3.70-3.91, 2 Au 3.77
Cs  0.8028  0.1972  0.7103  6 Se 3.70-3.91, 2 Au 3.77
Cs  0.9574  0.0426  0.0000  5 Se 3.65-3.74, 2 Au 4.06
Au  0.3638  0.6362  0.3459  3 Se 2.46-2.57
Au  0.6362  0.3638  0.8459  3 Se 2.46-2.57
Se  0.1781  0.8219  0.6993  2 Au 2.57
Se  0.4248  0.5752  0.6037  1 Au 2.46
Se  0.5752  0.4248  0.1037  1 Au 2.46
Se  0.8219  0.1781  0.1993  2 Au 2.57


Of them, B) has the highest stability.